{
  "formula": "LiBe2Ir",
  "functional": "GGA-PBE",
  "state": "relaxed",
  "dft_energy_ev_per_atom": -4.9019,
  "magnetic_moment_mub_per_fu": 0.00,
  "sg": "P6_3/mmc",
  "lattice": [[3.7631, 0.0000, 0.0000], [-1.8816, 3.2590, 0.0000], [0.0000, 0.0000, 6.7798]],
  "species": ["Li", "Li", "Be", "Be", "Be", "Be", "Ir", "Ir"],
  "fractional_positions": [[0.0000, 0.0000, 0.0000], [0.0000, 0.0000, 0.5000], [0.3333, 0.6667, 0.0987], [0.3333, 0.6667, 0.4013], [0.6667, 0.3333, 0.5987], [0.6667, 0.3333, 0.9013], [0.3333, 0.6667, 0.7500], [0.6667, 0.3333, 0.2500]]
}

---

{
  "formula": "ThZn",
  "functional": "GGA-PBE",
  "state": "relaxed",
  "dft_energy_ev_per_atom": -4.3735,
  "magnetic_moment_mub_per_fu": 0.00,
  "delta_e_f_mev_per_atom": -35,
  "sg": "Pbcm",
  "lattice": [[8.1006, 0.0000, 0.0000], [0.0000, 4.8793, 0.0000], [0.0000, 0.0000, 4.8732]],
  "species": ["Th", "Th", "Th", "Th", "Zn", "Zn", "Zn", "Zn"],
  "fractional_positions": [[0.1658, 0.0048, 0.2500], [0.1658, 0.4952, 0.7500], [0.8342, 0.5048, 0.2500], [0.8342, 0.9952, 0.7500], [0.4248, 0.5170, 0.2500], [0.4248, 0.9830, 0.7500], [0.5752, 0.0170, 0.2500], [0.5752, 0.4830, 0.7500]]
}

---

{
  "formula": "PrYCu2Bi4",
  "functional": "GGA-PBE",
  "state": "relaxed",
  "dft_energy_ev_per_atom": -4.8182,
  "magnetic_moment_mub_per_fu": 0.00,
  "sg": "P4mm",
  "lattice": [[4.5803, 0.0000, 0.0000], [0.0000, 4.5803, 0.0000], [0.0000, 0.0000, 9.8523]],
  "species": ["Pr", "Y", "Cu", "Cu", "Bi", "Bi", "Bi", "Bi"],
  "fractional_positions": [[0.0000, 0.0000, 0.0000], [0.5000, 0.5000, 0.4738], [0.0000, 0.5000, 0.2444], [0.5000, 0.0000, 0.2444], [0.0000, 0.0000, 0.4053], [0.0000, 0.5000, 0.7325], [0.5000, 0.0000, 0.7325], [0.5000, 0.5000, 0.0811]]
}

---

{
  "formula": "NaSrPrS3",
  "functional": "GGA-PBE",
  "state": "relaxed",
  "dft_energy_ev_per_atom": -5.0593,
  "magnetic_moment_mub_per_fu": 0.00,
  "sg": "Cmcm",
  "lattice": [[2.1142, -6.7467, 0.0000], [2.1142, 6.7467, 0.0000], [0.0000, 0.0000, 10.7839]],
  "species": ["Na", "Na", "Sr", "Sr", "Pr", "Pr", "S", "S", "S", "S", "S", "S"],
  "fractional_positions": [[0.0154, 0.9846, 0.7500], [0.9846, 0.0154, 0.2500], [0.2522, 0.7478, 0.2500], [0.7478, 0.2522, 0.7500], [0.5000, 0.5000, 0.0000], [0.5000, 0.5000, 0.5000], [0.1366, 0.8634, 0.5635], [0.1366, 0.8634, 0.9365], [0.4053, 0.5947, 0.7500], [0.5947, 0.4053, 0.2500], [0.8634, 0.1366, 0.0635], [0.8634, 0.1366, 0.4365]]
}